(1)
VASP calculation (PBE) on crystalline GdErScCd at its relaxed geometry.

Values from the calculation:
DFT total energy: -6.519 eV/atom

a = 5.338 Å, b = 5.338 Å, c = 5.338 Å
α = 60.00°, β = 60.00°, γ = 60.00°
Site moments in Bohr magnetons follow the coordinates.
Element x y z (fractional)
1 Sc 0.250 0.250 0.250  0.14
2 Gd 0.000 0.000 0.000  7.16
3 Er 0.500 0.500 0.500  0.09
4 Cd 0.750 0.750 0.750  -0.01


(2)
VASP calculation (PBE) on crystalline Hf3SbPd at its relaxed geometry.

Values from the calculation:
Formation energy from raw total energies: 0.22 eV/atom
DFT total energy: -7.617 eV/atom
Relative energy among the computed polymorphs: 0 meV/atom

a = 5.018 Å, b = 5.018 Å, c = 5.018 Å
α = 90.00°, β = 90.00°, γ = 90.00°
Element x y z (fractional)
1 Hf 0.500 0.000 0.000
2 Pd 0.000 0.000 0.000
3 Hf 0.000 0.500 0.000
4 Hf 0.000 0.000 0.500
5 Sb 0.500 0.500 0.500


(3)
VASP calculation (PBE) on crystalline RbVCoTc2 at its relaxed geometry.

Values from the calculation:
DFT total energy: -5.981 eV/atom
Relative energy among the computed polymorphs: 0 meV/atom

a = 4.666 Å, b = 4.564 Å, c = 4.666 Å
α = 90.00°, β = 90.00°, γ = 90.00°
Site moments in Bohr magnetons follow the coordinates.
Element x y z (fractional)
1 Tc 0.000 0.000 0.500  1.26
2 Rb 0.500 0.500 0.500  0.03
3 V 0.000 0.500 0.000  -0.30
4 Co 0.000 0.000 0.000  0.24
5 Tc 0.500 0.000 0.000  0.93


Question: Number 1 is which compound?
Answer: GdErScCd


Question: DFT total energy of number 2 (Hf3SbPd)?
Answer: -7.617 eV/atom